# 1
{"formula": "La5PuTe6", "functional": "GGA-PBE", "state": "relaxed", "lattice": [[-6.695, -2.071, -3.675], [-1.293, -7.710, 1.046], [-4.189, -2.490, 6.208]], "species": ["La", "La", "La", "La", "La", "Te", "Te", "Te", "Te", "Te", "Te", "Pu"], "fractional_positions": [[0.500, 0.500, 0.000], [0.500, 0.830, 0.340], [0.000, 0.666, 0.668], [0.000, 0.334, 0.332], [0.500, 0.170, 0.660], [0.755, 0.081, 0.327], [0.245, 0.591, 0.327], [0.755, 0.409, 0.673], [0.245, 0.919, 0.673], [0.751, 0.757, 0.000], [0.249, 0.243, 0.000], [0.000, 0.000, 0.000]], "dos_ef_per_ev_atom": 1.5232, "spacegroup": "C2/m (12)", "e_form_raw_ev_per_atom": -1.51, "m_tot_mub_per_cell": 6.08, "final_energy_ev_per_cell": -75.99}



# 2
{"formula": "La3Pu4Te8", "functional": "GGA-PBE", "state": "relaxed", "lattice": [[7.861, -0.188, -4.324], [-5.084, 7.444, -0.232], [-0.173, 0.155, 9.014]], "species": ["Pu", "Pu", "Pu", "Pu", "Te", "Te", "Te", "Te", "Te", "Te", "Te", "Te", "La", "La", "La"], "fractional_positions": [[0.000, 0.500, 0.000], [0.500, 0.000, 0.000], [0.000, 0.000, 0.000], [0.000, 0.000, 0.500], [0.500, 0.247, 0.753], [0.000, 0.748, 0.252], [0.498, 0.752, 0.752], [0.994, 0.248, 0.248], [0.000, 0.252, 0.748], [0.006, 0.752, 0.752], [0.500, 0.753, 0.247], [0.502, 0.248, 0.248], [0.500, 0.500, 0.500], [0.500, 0.000, 0.500], [0.500, 0.500, 0.000]], "dos_ef_per_ev_atom": 4.1279, "spacegroup": "C2/m (12)", "e_form_raw_ev_per_atom": -1.29, "m_tot_mub_per_cell": 0.20, "final_energy_ev_per_cell": -116.54}



Repeat the first record exactly.
{"formula": "La5PuTe6", "functional": "GGA-PBE", "state": "relaxed", "lattice": [[-6.695, -2.071, -3.675], [-1.293, -7.710, 1.046], [-4.189, -2.490, 6.208]], "species": ["La", "La", "La", "La", "La", "Te", "Te", "Te", "Te", "Te", "Te", "Pu"], "fractional_positions": [[0.500, 0.500, 0.000], [0.500, 0.830, 0.340], [0.000, 0.666, 0.668], [0.000, 0.334, 0.332], [0.500, 0.170, 0.660], [0.755, 0.081, 0.327], [0.245, 0.591, 0.327], [0.755, 0.409, 0.673], [0.245, 0.919, 0.673], [0.751, 0.757, 0.000], [0.249, 0.243, 0.000], [0.000, 0.000, 0.000]], "dos_ef_per_ev_atom": 1.5232, "spacegroup": "C2/m (12)", "e_form_raw_ev_per_atom": -1.51, "m_tot_mub_per_cell": 6.08, "final_energy_ev_per_cell": -75.99}



Number 1 is which compound? La5PuTe6